[1]
Entry from OQMD via LeMat-Bulk: a relaxed AgSnGe crystal (PBE-GGA).

a = 4.646 Å, b = 4.646 Å, c = 4.646 Å
α = 60.00°, β = 60.00°, γ = 60.00°
Fractional positions:
Sn  0.750  0.750  0.750
Ag  0.000  0.000  0.000
Ge  0.250  0.250  0.250

- Space-group type: No. 216
- Excess energy over the best structure of this formula in the dataset: 0.00 eV/f.u.
- Final energy: -3.652 eV per atom

=====

[2]
Entry from OQMD via LeMat-Bulk: a relaxed GdHo2In3PtAu2 crystal (PBE-GGA).

a = 3.957 Å, b = 7.724 Å, c = 7.724 Å
α = 120.13°, β = 90.00°, γ = 90.00°
Fractional positions:
In  0.500  0.999  0.256
In  0.500  0.256  0.999
In  0.500  0.744  0.744
Au  0.500  0.669  0.333
Au  0.500  0.333  0.669
Ho  0.000  0.000  0.599
Ho  0.000  0.599  0.000
Gd  0.000  0.402  0.402
Pt  0.000  0.998  0.998

- Total magnetization: 0.03 μB/cell
- Space-group type: No. 38
- Final energy: -4.681 eV per atom

=====

[3]
Entry from OQMD via LeMat-Bulk: a relaxed Ho2Al3Pt4 crystal (PBE-GGA).

a = 8.123 Å, b = 8.123 Å, c = 7.556 Å
α = 90.00°, β = 90.00°, γ = 139.76°
Fractional positions:
Pt  0.182  0.818  0.528
Pt  0.318  0.682  0.028
Pt  0.690  0.810  0.750
Pt  0.810  0.690  0.250
Pt  0.310  0.190  0.250
Pt  0.818  0.182  0.472
Pt  0.682  0.318  0.972
Pt  0.190  0.310  0.750
Al  0.521  0.979  0.750
Al  0.021  0.479  0.750
Al  0.500  0.500  0.000
Al  0.000  0.000  0.500
Al  0.479  0.021  0.250
Al  0.979  0.521  0.250
Ho  0.605  0.395  0.592
Ho  0.395  0.605  0.408
Ho  0.895  0.105  0.092
Ho  0.105  0.895  0.908

- Total magnetization: 0.02 μB/cell
- Space-group type: No. 64
- Final energy: -6.141 eV per atom

=====

[4]
Entry from OQMD via LeMat-Bulk: a relaxed MgUZn crystal (PBE-GGA).

a = 4.898 Å, b = 4.898 Å, c = 4.898 Å
α = 60.02°, β = 60.02°, γ = 60.02°
Fractional positions:
Mg  0.250  0.250  0.250
U  0.000  0.000  0.000
Zn  0.750  0.750  0.750

- Total magnetization: 3.60 μB/cell
- Space-group type: No. 216
- Final energy: -3.549 eV per atom

=====

[5]
Entry from OQMD via LeMat-Bulk: a relaxed Dy2Y5Ga crystal (PBE-GGA).

a = 5.510 Å, b = 7.064 Å, c = 7.064 Å
α = 60.12°, β = 90.00°, γ = 90.00°
Each line ends with the local moment (μB).
Fractional positions:
Y  0.500  0.329  0.845  0.09
Y  0.500  0.845  0.329  0.07
Y  0.000  0.160  0.669  0.03
Y  0.500  0.833  0.833  0.02
Y  0.000  0.669  0.160  0.02
Dy  0.000  0.670  0.670  0.03
Dy  0.500  0.327  0.327  0.10
Ga  0.000  0.166  0.166  -0.01

- Total magnetization: 0.58 μB/cell
- Space-group type: No. 38
- Final energy: -5.613 eV per atom

=====

[6]
Entry from OQMD via LeMat-Bulk: a relaxed Cs3NaP2Au2 crystal (PBE-GGA).

a = 6.382 Å, b = 6.590 Å, c = 6.796 Å
α = 90.00°, β = 106.15°, γ = 90.00°
Fractional positions:
Au  0.481  0.747  0.482
Au  0.481  0.253  0.482
Cs  0.319  0.000  0.980
Cs  0.682  0.500  0.043
Cs  0.014  0.500  0.680
Na  0.047  0.000  0.404
P  0.242  0.500  0.268
P  0.735  0.000  0.661

- Space-group type: No. 6
- Final energy: -3.073 eV per atom

=====

[7]
Entry from OQMD via LeMat-Bulk: a relaxed Y2Ho2I5N crystal (PBE-GGA).

a = 9.636 Å, b = 9.636 Å, c = 8.512 Å
α = 102.45°, β = 102.45°, γ = 23.35°
Fractional positions:
Ho  0.001  0.001  0.813
Ho  0.999  0.999  0.187
I  0.833  0.833  0.181
I  0.837  0.837  0.658
I  0.167  0.167  0.819
I  0.163  0.163  0.342
I  0.500  0.500  0.500
Y  0.373  0.373  0.937
Y  0.627  0.627  0.063
N  0.500  0.500  0.000

- Total magnetization: 0.00 μB/cell
- Space-group type: No. 12
- Final energy: -5.063 eV per atom

=====

[8]
Entry from OQMD via LeMat-Bulk: a relaxed Dy2YTmGa4 crystal (PBE-GGA).

a = 6.615 Å, b = 6.953 Å, c = 6.953 Å
α = 36.37°, β = 90.00°, γ = 90.00°
Fractional positions:
Ga  0.803  0.098  0.098
Ga  0.696  0.902  0.902
Ga  0.197  0.098  0.098
Ga  0.304  0.902  0.902
Y  0.000  0.447  0.447
Dy  0.000  0.723  0.723
Dy  0.500  0.277  0.277
Tm  0.500  0.553  0.553

- Total magnetization: 0.00 μB/cell
- Space-group type: No. 38
- Final energy: -4.670 eV per atom

=====

[9]
Entry from OQMD via LeMat-Bulk: a relaxed LaZrO3 crystal (PBE-GGA).

a = 4.492 Å, b = 4.492 Å, c = 4.492 Å
α = 90.00°, β = 90.00°, γ = 90.00°
Each line ends with the local moment (μB).
Fractional positions:
O  0.500  0.000  0.500  -0.10
O  0.000  0.500  0.500  -0.06
O  0.500  0.500  0.000  -0.11
La  0.500  0.500  0.500  -0.01
Zr  0.000  0.000  0.000  0.96

- Total magnetization: 1.00 μB/cell
- Space-group type: No. 221
- Final energy: -7.089 eV per atom

=====

[10]
Entry from OQMD via LeMat-Bulk: a relaxed MgScCoBi crystal (PBE-GGA).

a = 4.807 Å, b = 4.807 Å, c = 4.807 Å
α = 60.00°, β = 60.00°, γ = 60.00°
Each line ends with the local moment (μB).
Fractional positions:
Bi  0.250  0.250  0.250  -0.03
Mg  0.000  0.000  0.000  0.01
Co  0.750  0.750  0.750  -1.03
Sc  0.500  0.500  0.500  0.17

- Total magnetization: 0.75 μB/cell
- Space-group type: No. 216
- Excess energy over the best structure of this formula in the dataset: 0.00 eV/f.u.
- Final energy: -4.741 eV per atom

=====

[11]
Entry from OQMD via LeMat-Bulk: a relaxed TbErSn4 crystal (PBE-GGA).

a = 4.345 Å, b = 8.455 Å, c = 8.455 Å
α = 30.35°, β = 90.00°, γ = 90.00°
Fractional positions:
Sn  0.000  0.937  0.937
Sn  0.500  0.751  0.751
Sn  0.000  0.248  0.248
Sn  0.500  0.064  0.064
Tb  0.500  0.402  0.402
Er  0.000  0.599  0.599

- Total magnetization: 0.00 μB/cell
- Space-group type: No. 38
- Final energy: -4.785 eV per atom

=====

[12]
Entry from OQMD via LeMat-Bulk: a relaxed Cu4ReSb2 crystal (PBE-GGA).

a = 7.419 Å, b = 7.419 Å, c = 7.419 Å
α = 143.70°, β = 143.70°, γ = 52.28°
Fractional positions:
Cu  0.816  0.816  0.000
Cu  0.500  0.000  0.500
Cu  0.184  0.184  0.000
Cu  0.000  0.500  0.500
Re  0.000  0.000  0.000
Sb  0.626  0.626  0.000
Sb  0.374  0.374  0.000

- Total magnetization: 0.02 μB/cell
- Space-group type: No. 139
- Final energy: -4.159 eV per atom

=====

Values for mass density, g cm⁻³, ordered as above
7.0 11.6 12.3 6.5 5.8 5.3 6.3 7.5 5.1 7.1 8.5 8.0